1.
LuCdRe after structural relaxation, computed with PBE.

```
3
Lattice="-2.2903 -3.5381 -2.0934 -3.7298 -1.9570 2.0988 -4.3151 0.6956 -1.7440" Properties=species:S:1:pos:R:3 pbc="T T T"
Re -7.7514 -3.5996 -1.3040
Lu 0.0000 0.0000 0.0000
Cd -2.5838 -1.1999 -0.4347
```

ΔE_f = 1.22 eV/atom
E_tot = -14.2 eV per cell
Space group = F-43m (216)

***

2.
LuCdRe after structural relaxation, computed with PBE.

```
3
Lattice="3.6781 -2.8615 0.4360 2.1541 -0.4293 4.1330 -0.4006 -3.9699 2.4466" Properties=species:S:1:pos:R:3 pbc="T T T"
Cd 1.3579 -1.8152 1.7539
Lu 4.0737 -5.4455 5.2617
Re 0.0000 0.0000 0.0000
```

ΔE_f = 0.81 eV/atom
E_tot = -15.4 eV per cell
Space group = F-43m (216)

***

3.
LuCdSb after structural relaxation, computed with PBE.

```
3
Lattice="-2.5890 -4.2438 0.4873 -4.9075 0.1596 0.9174 -3.2484 -1.3645 -3.5407" Properties=species:S:1:pos:R:3 pbc="T T T"
Cd -2.6862 -1.3622 -0.5340
Lu -8.0587 -4.0865 -1.6020
Sb 0.0000 0.0000 0.0000
```

E_tot = -9.9 eV per cell
Space group = F-43m (216)

***

Please write out number 1 again, unchanged.
LuCdRe after structural relaxation, computed with PBE.

```
3
Lattice="-2.2903 -3.5381 -2.0934 -3.7298 -1.9570 2.0988 -4.3151 0.6956 -1.7440" Properties=species:S:1:pos:R:3 pbc="T T T"
Re -7.7514 -3.5996 -1.3040
Lu 0.0000 0.0000 0.0000
Cd -2.5838 -1.1999 -0.4347
```

ΔE_f = 1.22 eV/atom
E_tot = -14.2 eV per cell
Space group = F-43m (216)